Entry 1:
A geometry-optimized CdAgTe2 structure, computed with PBEsol.

Cell lengths 4.151, 4.151, 5.848 Å; angles 90.00, 90.00, 90.00 degrees
Element x y z (fractional)
Te: 0.000 0.000 0.875
Te: 0.500 0.500 0.375
Ag: 0.000 0.000 0.375
Cd: 0.500 0.500 0.875

Results
Final energy (eV/atom): -3.0060
Crystal system: tetragonal
Uncorrected formation energy (eV per atom): -0.116
Theoretical density (g/cm3): 7.84
N(E_F) (states/eV per cell): 1.94



Entry 2:
A geometry-optimized Cd2AgTe structure, computed with PBEsol.

Cell lengths 4.334, 4.334, 5.603 Å; angles 112.75, 112.75, 90.00 degrees
Element x y z (fractional)
Te: 0.500 0.500 0.000
Ag: 0.250 0.750 0.500
Cd: 0.000 0.000 0.000
Cd: 0.750 0.250 0.500

Results
Final energy (eV/atom): -2.2083
Crystal system: tetragonal
Uncorrected formation energy (eV per atom): 0.099
Theoretical density (g/cm3): 8.68
N(E_F) (states/eV per cell): 1.36



Entry 3:
A geometry-optimized CdAgTe2 structure, computed with PBEsol.

Cell lengths 3.442, 4.592, 6.734 Å; angles 90.00, 90.00, 90.00 degrees
Element x y z (fractional)
Te: 0.500 0.000 0.068
Te: 0.000 0.500 0.677
Ag: 0.000 0.000 0.439
Cd: 0.500 0.500 0.316

Results
Final energy (eV/atom): -2.9555
Crystal system: orthorhombic
Uncorrected formation energy (eV per atom): -0.065
Theoretical density (g/cm3): 7.42
N(E_F) (states/eV per cell): 0.39



Entry 4:
A geometry-optimized TiCd2Ag structure, computed with PBEsol.

Cell lengths 4.655, 4.655, 4.655 Å; angles 60.00, 60.00, 60.00 degrees
Element x y z (fractional)
Ti: 0.000 0.000 0.000
Ag: 0.500 0.500 0.500
Cd: 0.250 0.250 0.250
Cd: 0.750 0.750 0.750

Results
Final energy (eV/atom): -3.4685
ΔH_f (0 K) (eV per atom): 0.038
Crystal system: cubic
Theoretical density (g/cm3): 8.86
N(E_F) (states/eV per cell): 2.44



Entry 5:
A geometry-optimized TlCd2Ag structure, computed with PBEsol.

Cell lengths 3.149, 3.149, 10.107 Å; angles 81.04, 81.04, 60.00 degrees
Element x y z (fractional)
Tl: 0.500 0.500 0.500
Ag: 0.000 0.000 0.000
Cd: 0.259 0.259 0.224
Cd: 0.741 0.741 0.776

Results
Final energy (eV/atom): -2.0344
ΔH_f (0 K) (eV per atom): 0.049
Crystal system: trigonal
Offset from the most stable computed form (meV/atom): 26
Theoretical density (g/cm3): 10.45
N(E_F) (states/eV per cell): 1.34



Entry 6:
A geometry-optimized TlCd2Ag structure, computed with PBEsol.

Cell lengths 3.165, 5.099, 5.708 Å; angles 101.26, 90.00, 108.08 degrees
Element x y z (fractional)
Tl: 0.500 0.000 0.000
Ag: 0.000 0.000 0.500
Cd: 0.739 0.479 0.723
Cd: 0.261 0.521 0.277

Results
Final energy (eV/atom): -2.0203
ΔH_f (0 K) (eV per atom): 0.064
Crystal system: monoclinic
Offset from the most stable computed form (meV/atom): 40
Theoretical density (g/cm3): 10.41
N(E_F) (states/eV per cell): 1.31